Record 1
Computed, not measured: a relaxed structure of SrTiFe4Bi4O15 at the PBE with a Hubbard U level of DFT.

Properties
SG: Cm (8)
Total DFT energy (no corrections) (eV/cell): -162.17
Total magnetic moment (μB/atom): 0.158
Crystal system: monoclinic

Cell: 13.6399 13.6399 4.7748 Å, 89.50 89.50 157.25°
Closest atoms and distances in Å follow each position.
Sites, in units of the cell vectors:
Sr 0.5249 0.5249 0.4558  7 O 2.53-2.73
Ti 0.0481 0.0481 0.9844  5 O 1.78-1.98
Fe 0.6458 0.4452 0.9800  5 O 1.86-2.05
Fe 0.2521 0.8506 0.0011  5 O 1.94-1.98
Fe 0.8506 0.2521 0.0011  5 O 1.94-1.98
Fe 0.4452 0.6458 0.9800  5 O 1.86-2.05
Bi 0.1041 0.9030 0.3946  4 O 2.20-2.45
Bi 0.7023 0.2950 0.4305  5 O 2.27-2.53
Bi 0.2950 0.7023 0.4305  5 O 2.27-2.53
Bi 0.9030 0.1041 0.3946  4 O 2.20-2.45
O 0.6577 0.9579 0.1088  2 Fe 1.94-2.05
O 0.4541 0.1479 0.1125  2 Fe 1.94-2.01
O 0.0430 0.5455 0.1223  2 Fe 1.96-1.98
O 0.2337 0.3350 0.0891  1 Ti 1.94, 1 Fe 1.99
O 0.8481 0.7479 0.1146  1 Ti 1.98, 1 Fe 2.03
O 0.7479 0.8481 0.1146  1 Ti 1.98, 1 Fe 2.03
O 0.5455 0.0430 0.1223  2 Fe 1.96-1.98
O 0.1479 0.4541 0.1125  2 Fe 1.94-2.01
O 0.3350 0.2337 0.0891  1 Ti 1.94, 1 Fe 1.99
O 0.9579 0.6577 0.1088  2 Fe 1.94-2.05
O 0.4912 0.6876 0.5906  1 Fe 1.86
O 0.2918 0.8753 0.5934  1 Fe 1.96
O 0.8753 0.2918 0.5934  1 Fe 1.96
O 0.0402 0.0402 0.6125  1 Ti 1.78
O 0.6876 0.4912 0.5906  1 Fe 1.86

=====

Record 2
Computed, not measured: a relaxed structure of CrRhF2 at the PBE with a Hubbard U level of DFT.

Properties
Excess energy over the best structure of this formula in the dataset (eV per atom): 0.0000
DOS(E_F) (states/eV/cell): 2.8
SG: R-3m (166)
Total DFT energy (no corrections) (eV/cell): -21.66
Total magnetic moment (μB/atom): 0.191
Crystal system: trigonal

Cell: 8.9896 8.9896 8.9896 Å, 17.88 17.88 17.88°
Closest atoms and distances in Å follow each position.
Sites, in units of the cell vectors:
Cr 0.5000 0.5000 0.5000  6 F 2.03
Rh 0.0000 0.0000 0.0000  6 Rh 2.79
F 0.8795 0.8795 0.8795  3 Cr 2.03
F 0.1205 0.1205 0.1205  3 Cr 2.03